SmHoC2Cl2 after structural relaxation. Source: OQMD via LeMat-Bulk, functional PBE.

```
SmHoC2Cl2
1.0
3.493 -1.885 0.000
3.493 1.885 0.000
-0.992 0.000 10.699
Sm Cl C Ho
1 2 2 1
direct
0.855 0.855 0.360 Sm
0.819 0.819 0.796 Cl
0.176 0.176 0.195 Cl
0.575 0.575 0.470 C
0.427 0.427 0.540 C
0.147 0.147 0.639 Ho
```

Results
Raw total energy: -6.474 eV/atom
Density: 4.8 g/cm3
Total magnetic moment: 0.01 μB per cell